The following is a DFT calculation (PBE) of crystalline MgHg2Pt at its relaxed geometry.

Unit cell a=5.7762 b=5.7762 c=3.2998 alpha=72.44 beta=72.44 gamma=116.68
Atoms (fractional coordinates):
Mg (0.5000, 0.0000, 0.5000)
Hg (0.0000, 0.0000, 0.0000)
Hg (0.5000, 0.5000, 0.0000)
Pt (0.0000, 0.5000, 0.5000)

Values from the calculation:
Total DFT energy (no corrections)   -2.18 eV/atom
Density of states at the Fermi level   0.327 states/eV per atom
ΔE_f   -0.122 eV per atom

---

The following is a DFT calculation (PBE) of crystalline Mg2HgPt at its relaxed geometry.

Unit cell a=9.8167 b=9.8167 c=9.8167 alpha=18.01 beta=18.01 gamma=18.01
Atoms (fractional coordinates):
Pt (0.5047, 0.5047, 0.5047)
Mg (0.0003, 0.0003, 0.0003)
Mg (0.2405, 0.2405, 0.2405)
Hg (0.7545, 0.7545, 0.7545)

Values from the calculation:
Total DFT energy (no corrections)   -2.54 eV/atom
Density of states at the Fermi level   0.372 states/eV per atom
ΔE_f   -0.155 eV per atom

---

The following is a DFT calculation (PBE) of crystalline Mg5HgPt at its relaxed geometry.

Unit cell a=7.0765 b=7.0765 c=9.5963 alpha=68.70 beta=68.70 gamma=68.96
Atoms (fractional coordinates):
Hg (0.5520, 0.4480, 0.2500)
Hg (0.4480, 0.5520, 0.7500)
Mg (0.0875, 0.9125, 0.7500)
Mg (0.7178, 0.3425, 0.5235)
Mg (0.6575, 0.2822, 0.9765)
Mg (0.2822, 0.6575, 0.4765)
Mg (0.2820, 0.1994, 0.3639)
Mg (0.7180, 0.8006, 0.6361)
Mg (0.3425, 0.7178, 0.0235)
Mg (0.9125, 0.0875, 0.2500)
Mg (0.1994, 0.2820, 0.8639)
Mg (0.8006, 0.7180, 0.1361)
Pt (0.0000, 0.0000, 0.5000)
Pt (0.0000, 0.0000, 0.0000)

Values from the calculation:
Total DFT energy (no corrections)   -2.18 eV/atom
Density of states at the Fermi level   0.311 states/eV per atom
ΔE_f   -0.133 eV per atom

---

The following is a DFT calculation (PBE) of crystalline Mg7HgPt4 at its relaxed geometry.

Unit cell a=4.8976 b=7.8576 c=6.8925 alpha=77.22 beta=69.19 gamma=71.84
Atoms (fractional coordinates):
Pt (0.6972, 0.6533, 0.9523)
Pt (0.5655, 0.2244, 0.6446)
Pt (0.4345, 0.7756, 0.3554)
Pt (0.3028, 0.3467, 0.0477)
Mg (0.0658, 0.6392, 0.2292)
Mg (0.6857, 0.3712, 0.2574)
Mg (0.2188, 0.1276, 0.4348)
Mg (0.7812, 0.8724, 0.5652)
Mg (0.3143, 0.6288, 0.7426)
Mg (0.9342, 0.3608, 0.7708)
Mg (0.5000, 0.0000, 0.0000)
Hg (0.0000, 0.0000, 0.0000)

Values from the calculation:
Total DFT energy (no corrections)   -3.48 eV/atom
Density of states at the Fermi level   0.390 states/eV per atom
ΔE_f   -0.507 eV per atom

---

The following is a DFT calculation (PBE) of crystalline Mg2HgPt at its relaxed geometry.

Unit cell a=5.2438 b=5.2438 c=5.2438 alpha=134.65 beta=134.57 gamma=66.14
Atoms (fractional coordinates):
Pt (0.5001, 0.5001, 0.0000)
Mg (0.0000, 0.0000, 0.0000)
Mg (0.7497, 0.2497, 0.5000)
Hg (0.2502, 0.7502, 0.5000)

Values from the calculation:
Total DFT energy (no corrections)   -2.87 eV/atom
Density of states at the Fermi level   0.149 states/eV per atom
ΔE_f   -0.483 eV per atom

---

The following is a DFT calculation (PBE) of crystalline RbMg2HgPt at its relaxed geometry.

Unit cell a=5.1561 b=5.1561 c=5.4616 alpha=90.00 beta=90.00 gamma=90.00
Atoms (fractional coordinates):
Rb (0.5000, 0.5000, 0.5000)
Pt (0.0000, 0.0000, 0.0000)
Mg (0.5000, 0.0000, 0.0000)
Mg (0.0000, 0.5000, 0.0000)
Hg (0.0000, 0.0000, 0.5000)

Values from the calculation:
Total DFT energy (no corrections)   -2.41 eV/atom
Density of states at the Fermi level   0.275 states/eV per atom
ΔE_f   -0.315 eV per atom

---

The following is a DFT calculation (PBE) of crystalline RbMgHg2Pt at its relaxed geometry.

Unit cell a=5.3005 b=6.4230 c=5.3005 alpha=90.00 beta=90.00 gamma=90.00
Atoms (fractional coordinates):
Pt (0.5000, 0.5000, 0.5000)
Hg (0.5000, 0.0000, 0.0000)
Hg (0.0000, 0.0000, 0.5000)
Rb (0.0000, 0.5000, 0.0000)
Mg (0.0000, 0.0000, 0.0000)

Values from the calculation:
Total DFT energy (no corrections)   -1.24 eV/atom
Density of states at the Fermi level   0.908 states/eV per atom
ΔE_f   0.601 eV per atom

---

The following is a DFT calculation (PBE) of crystalline RbMgHgPt2 at its relaxed geometry.

Unit cell a=4.8680 b=6.2257 c=4.8680 alpha=90.00 beta=90.00 gamma=90.00
Atoms (fractional coordinates):
Mg (0.0000, 0.0000, 0.0000)
Pt (0.5000, 0.0000, 0.0000)
Pt (0.0000, 0.0000, 0.5000)
Hg (0.5000, 0.5000, 0.5000)
Rb (0.0000, 0.5000, 0.0000)

Values from the calculation:
Total DFT energy (no corrections)   -2.56 eV/atom
Density of states at the Fermi level   0.348 states/eV per atom
ΔE_f   0.424 eV per atom

---

> Which of these has the lowest density of states at the Fermi level?

number 5

---

> Which formula does entry 6 have?

RbMg2HgPt

---

Repeat the fifth record exactly.
The following is a DFT calculation (PBE) of crystalline Mg2HgPt at its relaxed geometry.

Unit cell a=5.2438 b=5.2438 c=5.2438 alpha=134.65 beta=134.57 gamma=66.14
Atoms (fractional coordinates):
Pt (0.5001, 0.5001, 0.0000)
Mg (0.0000, 0.0000, 0.0000)
Mg (0.7497, 0.2497, 0.5000)
Hg (0.2502, 0.7502, 0.5000)

Values from the calculation:
Total DFT energy (no corrections)   -2.87 eV/atom
Density of states at the Fermi level   0.149 states/eV per atom
ΔE_f   -0.483 eV per atom